[1]
4
Lattice="2.979 0.000 0.000 0.000 4.348 0.000 0.000 0.000 4.348" Properties=species:S:1:pos:R:3 comment="SCAN CaCo2Ru, PBEsol geometry" ef_ev_per_atom=0.33 crystal_system=tetragonal spacegroup="P4/mmm, No. 123" pbc="T T T"
Ru 1.489 2.174 2.174
Ca 1.489 0.000 0.000
Co 0.000 0.000 2.174
Co 0.000 2.174 0.000

[2]
4
Lattice="-1.995 1.383 1.939 -2.443 -3.581 0.040 2.253 -1.499 3.386" Properties=species:S:1:pos:R:3 comment="SCAN CaCoRu2, PBEsol geometry" ef_ev_per_atom=0.62 crystal_system=tetragonal spacegroup="P4/mmm, No. 123" pbc="T T T"
Ru 1.126 -0.750 1.693
Ru -1.222 -1.790 0.020
Ca -1.093 -1.849 2.683
Co -0.997 0.691 0.970

[3]
4
Lattice="2.925 0.000 0.000 0.000 2.925 0.000 0.000 0.000 6.941" Properties=species:S:1:pos:R:3 comment="SCAN CaCo2Ru, PBEsol geometry" ef_ev_per_atom=0.36 crystal_system=tetragonal spacegroup="P4mm, No. 99" pbc="T T T"
Ru 0.000 0.000 3.037
Ca 1.462 1.462 5.262
Co 0.000 0.000 0.511
Co 1.462 1.462 1.601

Copy entry 3 word for word.
4
Lattice="2.925 0.000 0.000 0.000 2.925 0.000 0.000 0.000 6.941" Properties=species:S:1:pos:R:3 comment="SCAN CaCo2Ru, PBEsol geometry" ef_ev_per_atom=0.36 crystal_system=tetragonal spacegroup="P4mm, No. 99" pbc="T T T"
Ru 0.000 0.000 3.037
Ca 1.462 1.462 5.262
Co 0.000 0.000 0.511
Co 1.462 1.462 1.601